GaCuAsSe2, relaxed, DFT PBE; ΔE_f (raw) = 383 meV per atom; energy relative to the lowest polymorph listed for this composition = 0 meV per atom; crystal system = tetragonal; space-group type = P4/mmm, No. 123
1.0
-2.4913 1.5946 4.0603
0.1405 -4.6441 1.9100
3.9542 0.9621 2.0484
Se Ga As Cu
2 1 1 1
Direct
0.0000 0.5000 0.0000
0.5000 0.0000 0.0000
0.5000 0.5000 0.5000
0.0000 0.0000 0.5000
0.0000 0.0000 0.0000



GaCuAs2Se, relaxed, DFT PBE; ΔE_f (raw) = 496 meV per atom; energy relative to the lowest polymorph listed for this composition = 0 meV per atom; crystal system = tetragonal; space-group type = P4/mmm, No. 123
1.0
4.7074 0.0000 0.0000
0.0000 4.7074 0.0000
0.0000 0.0000 5.0655
As Cu Ga Se
2 1 1 1
Direct
0.0000 0.5000 0.0000
0.5000 0.0000 0.0000
0.0000 0.0000 0.0000
0.5000 0.5000 0.5000
0.0000 0.0000 0.5000



GaCuAsSe2, relaxed, DFT PBE; ΔE_f (raw) = 748 meV per atom; energy relative to the lowest polymorph listed for this composition = 365 meV per atom; crystal system = tetragonal; space-group type = P4/mmm, No. 123
1.0
-4.6086 1.1634 1.5786
0.0850 -3.9095 3.1293
1.8895 2.8030 3.4505
Se As Ga Cu
2 1 1 1
Direct
0.0000 0.5000 0.0000
0.5000 0.0000 0.0000
0.0000 0.0000 0.5000
0.0000 0.0000 0.0000
0.5000 0.5000 0.5000



GaCuAs2Se, relaxed, DFT PBE; ΔE_f (raw) = 874 meV per atom; energy relative to the lowest polymorph listed for this composition = 378 meV per atom; crystal system = tetragonal; space-group type = P4/mmm, No. 123
1.0
4.8706 0.0000 0.0000
0.0000 4.8706 0.0000
0.0000 0.0000 5.0186
Ga As Se Cu
1 2 1 1
Direct
0.0000 0.0000 0.0000
0.5000 0.0000 0.0000
0.0000 0.5000 0.0000
0.0000 0.0000 0.5000
0.5000 0.5000 0.5000



TaGaCu2As, relaxed, DFT PBE; energy relative to the elements = 4.3 eV/f.u.; crystal system = tetragonal; space-group type = P4/mmm, No. 123
1.0
4.9498 0.0000 0.0000
0.0000 4.9498 0.0000
0.0000 0.0000 4.9026
Ta Ga As Cu
1 1 1 2
Direct
0.0000 0.0000 0.0000
0.5000 0.5000 0.5000
0.0000 0.0000 0.5000
0.0000 0.5000 0.0000
0.5000 0.0000 0.0000



Gd2CuAs, relaxed, DFT PBE; energy relative to the elements = -2.8 eV/f.u.; energy relative to the lowest polymorph listed for this composition = 24 meV per atom; crystal system = tetragonal; space-group type = P4/mmm, No. 123
1.0
3.7240 0.0000 0.0000
0.0000 4.8904 0.0000
0.0000 0.0000 4.8904
Gd As Cu
2 1 1
Direct
0.0000 0.0000 0.5000
0.0000 0.5000 0.0000
0.5000 0.5000 0.5000
0.5000 0.0000 0.0000



Gd2CuAs, relaxed, DFT PBE; energy relative to the elements = -2.9 eV/f.u.; energy relative to the lowest polymorph listed for this composition = 0 meV per atom; crystal system = trigonal; space-group type = R-3m, No. 166
1.0
-2.0330 -1.8971 2.9829
-2.2855 -3.2688 -0.8491
4.0413 -5.8435 1.8253
Cu As Gd
1 1 2
Direct
0.5000 0.5000 0.5000
0.0000 0.0000 0.0000
0.2522 0.2522 0.2434
0.7478 0.7478 0.7566



CuGe3As4, relaxed, DFT PBE; energy relative to the elements = 0.1 eV/f.u.; crystal system = orthorhombic; space-group type = Pmn2_1, No. 31
1.0
-1.1682 -6.4774 0.3513
1.5438 0.0841 6.6840
-7.9665 1.5355 1.8207
Cu Ge As
2 6 8
Direct
0.5002 0.8331 0.5000
0.0002 0.1669 0.0000
0.0045 0.6696 0.2519
0.5045 0.3304 0.2481
0.5032 0.8218 0.0000
0.0045 0.6696 0.7481
0.5045 0.3304 0.7519
0.0032 0.1782 0.5000
0.6204 0.1607 0.5000
0.6383 0.1652 0.0000
0.1221 0.3231 0.7618
0.1383 0.8348 0.5000
0.1221 0.3231 0.2382
0.6221 0.6769 0.2618
0.1204 0.8393 0.0000
0.6221 0.6769 0.7382



Cu2Ge2As, relaxed, DFT PBE; energy relative to the elements = 1.5 eV/f.u.; energy relative to the lowest polymorph listed for this composition = 71 meV per atom; crystal system = tetragonal; space-group type = I4/mmm, No. 139
1.0
3.9014 0.0000 0.0000
0.0000 3.9014 0.0000
1.9507 1.9507 5.5361
Ge As Cu
2 1 2
Direct
0.6106 0.6106 0.7788
0.3894 0.3894 0.2212
0.0000 0.0000 0.0000
0.7500 0.2500 0.5000
0.2500 0.7500 0.5000



Cu3GeAs, relaxed, DFT PBE; energy relative to the elements = 2.7 eV/f.u.; energy relative to the lowest polymorph listed for this composition = 0 meV per atom; crystal system = cubic; space-group type = Pm-3m, No. 221
1.0
-4.1324 -1.7935 -0.5538
1.6663 -4.1216 0.9144
-0.8642 0.6292 4.4111
Cu As Ge
3 1 1
Direct
0.0000 0.5000 0.0000
0.0000 0.0000 0.5000
0.5000 0.0000 0.0000
0.0000 0.0000 0.0000
0.5000 0.5000 0.5000



Cu4GeAs, relaxed, DFT PBE; energy relative to the elements = 0.9 eV/f.u.; crystal system = cubic; space-group type = F-43m, No. 216
1.0
-3.4013 2.0564 -2.9604
-4.7651 0.0505 1.3614
-2.1611 4.2668 1.2984
Ge Cu As
1 4 1
Direct
0.0000 0.0000 0.0000
0.6250 0.6250 0.1251
0.6250 0.6250 0.6250
0.1252 0.6250 0.6250
0.6250 0.1251 0.6250
0.2500 0.2500 0.2500



Cu8Ge2As, relaxed, DFT PBE; energy relative to the elements = 0.5 eV/f.u.; crystal system = orthorhombic; space-group type = Immm, No. 71
1.0
-2.6208 0.5766 3.0848
3.0038 -4.0614 3.3112
3.3665 6.1644 -1.0018
Cu As Ge
8 1 2
Direct
0.8333 0.8332 0.6666
0.6547 0.8831 0.3094
0.3453 0.5741 0.6906
0.3453 0.1169 0.6906
0.0001 0.7191 0.0002
0.6547 0.4259 0.3094
0.1667 0.1668 0.3334
0.9999 0.2809 0.9998
0.5000 0.0000 0.0000
0.1770 0.6770 0.3540
0.8230 0.3230 0.6460



Cu2Ge2As, relaxed, DFT PBE; energy relative to the elements = 1.1 eV/f.u.; energy relative to the lowest polymorph listed for this composition = 0 meV per atom; crystal system = tetragonal; space-group type = P4/mbm, No. 127
1.0
7.7116 0.0000 0.0000
0.0000 7.7116 0.0000
0.0000 0.0000 2.7441
Ge Cu As
4 4 2
Direct
0.6848 0.1848 0.0000
0.3152 0.8152 0.0000
0.8152 0.6848 0.0000
0.1848 0.3152 0.0000
0.3875 0.1125 0.5000
0.6125 0.8875 0.5000
0.8875 0.3875 0.5000
0.1125 0.6125 0.5000
0.0000 0.0000 0.0000
0.5000 0.5000 0.0000